Entry from Alexandria: ScNi2P after structural relaxation (PBE).

a = 4.877 Å, b = 4.877 Å, c = 4.877 Å
α = 46.80°, β = 46.80°, γ = 46.80°
Element x y z (fractional)
Sc 0.000 0.000 0.000
Ni 0.208 0.208 0.208
Ni 0.450 0.450 0.450
P 0.799 0.799 0.799

Results
Energy of formation from the pure elements: -0.72 eV per atom
ρ: 5.70 g/cm³
M_tot: 0.0 Bohr magnetons per cell
Energy above the lowest structure with this stoichiometry: 0.163 eV per atom
E: -6.54 eV/atom
SG: R3m, No. 160

Entry from Alexandria: Ca3CuRu after structural relaxation (PBE).

a = 5.304 Å, b = 5.304 Å, c = 5.304 Å
α = 90.00°, β = 90.00°, γ = 90.00°
Element x y z (fractional)
Ca 0.000 0.000 0.500
Ca 0.000 0.500 0.000
Ca 0.500 0.000 0.000
Cu 0.000 0.000 0.000
Ru 0.500 0.500 0.500

Results
Energy of formation from the pure elements: 0.65 eV per atom
ρ: 3.17 g/cm³
M_tot: 1.4 Bohr magnetons per cell
Energy above the lowest structure with this stoichiometry: 0.268 eV per atom
E: -3.23 eV/atom
SG: Pm-3m, No. 221

Entry from Alexandria: LaAsOs2 after structural relaxation (PBE).

a = 4.737 Å, b = 4.737 Å, c = 4.737 Å
α = 60.00°, β = 60.00°, γ = 60.00°
Element x y z (fractional)
La 0.000 0.000 0.000
As 0.750 0.750 0.750
Os 0.250 0.250 0.250
Os 0.500 0.500 0.500

Results
Energy of formation from the pure elements: 0.59 eV per atom
ρ: 13.13 g/cm³
M_tot: 0.0 Bohr magnetons per cell
E: -7.42 eV/atom
SG: F-43m, No. 216

Entry from Alexandria: Ba5NaMg4 after structural relaxation (PBE).

a = 4.368 Å, b = 4.368 Å, c = 22.887 Å
α = 90.00°, β = 90.00°, γ = 90.00°
Element x y z (fractional)
Ba 0.000 0.000 0.000
Ba 0.000 0.000 0.192
Ba 0.000 0.000 0.383
Ba 0.000 0.000 0.617
Ba 0.000 0.000 0.808
Na 0.500 0.500 0.500
Mg 0.500 0.500 0.095
Mg 0.500 0.500 0.289
Mg 0.500 0.500 0.711
Mg 0.500 0.500 0.905

Results
Energy of formation from the pure elements: -0.05 eV per atom
ρ: 3.07 g/cm³
M_tot: 0.0 Bohr magnetons per cell
E: -1.78 eV/atom
SG: P4/mmm, No. 123

Entry from Alexandria: Tm2CdOs after structural relaxation (PBE).

a = 4.948 Å, b = 4.948 Å, c = 4.948 Å
α = 60.00°, β = 60.00°, γ = 60.00°
Element x y z (fractional)
Tm 0.250 0.250 0.250
Tm 0.750 0.750 0.750
Cd 0.000 0.000 0.000
Os 0.500 0.500 0.500

Results
Energy of formation from the pure elements: -0.26 eV per atom
ρ: 12.42 g/cm³
M_tot: 0.0 Bohr magnetons per cell
Energy above the lowest structure with this stoichiometry: 0.105 eV per atom
E: -5.54 eV/atom
SG: Fm-3m, No. 225

Entry from Alexandria: Ca3HfGa after structural relaxation (PBE).

a = 5.640 Å, b = 5.640 Å, c = 5.640 Å
α = 90.00°, β = 90.00°, γ = 90.00°
Element x y z (fractional)
Ca 0.000 0.000 0.500
Ca 0.000 0.500 0.000
Ca 0.500 0.000 0.000
Hf 0.500 0.500 0.500
Ga 0.000 0.000 0.000

Results
Energy of formation from the pure elements: 0.56 eV per atom
ρ: 3.41 g/cm³
M_tot: 2.9 Bohr magnetons per cell
Energy above the lowest structure with this stoichiometry: 0.000 eV per atom
E: -3.23 eV/atom
SG: Pm-3m, No. 221

Entry from Alexandria: SrSBr2 after structural relaxation (PBE).

a = 7.742 Å, b = 7.742 Å, c = 7.742 Å
α = 38.68°, β = 38.68°, γ = 38.68°
Element x y z (fractional)
Sr 0.000 0.000 0.000
S 0.500 0.500 0.500
Br 0.384 0.384 0.384
Br 0.616 0.616 0.616

Results
ρ: 2.85 g/cm³
Formation energy without anion corrections: -20.580 kcal/mol of atoms
M_tot: 0.0 Bohr magnetons per cell
Energy above the lowest structure with this stoichiometry: 0.130 eV per atom
E: -3.18 eV/atom
SG: R-3m, No. 166

Entry from Alexandria: ZrNb2Co after structural relaxation (PBE).

a = 4.569 Å, b = 4.569 Å, c = 4.569 Å
α = 60.00°, β = 60.00°, γ = 60.00°
Element x y z (fractional)
Zr 0.000 0.000 0.000
Nb 0.250 0.250 0.250
Nb 0.750 0.750 0.750
Co 0.500 0.500 0.500

Results
Energy of formation from the pure elements: 0.14 eV per atom
ρ: 8.27 g/cm³
M_tot: 0.0 Bohr magnetons per cell
Energy above the lowest structure with this stoichiometry: 0.228 eV per atom
E: -8.81 eV/atom
SG: Fm-3m, No. 225

Entry from Alexandria: Li2PrY after structural relaxation (PBE).

a = 5.361 Å, b = 5.361 Å, c = 5.361 Å
α = 60.00°, β = 60.00°, γ = 60.00°
Element x y z (fractional)
Li 0.250 0.250 0.250
Li 0.750 0.750 0.750
Pr 0.000 0.000 0.000
Y 0.500 0.500 0.500

Results
Energy of formation from the pure elements: 0.14 eV per atom
ρ: 3.71 g/cm³
M_tot: 0.3 Bohr magnetons per cell
Energy above the lowest structure with this stoichiometry: 0.005 eV per atom
E: -3.63 eV/atom
SG: Fm-3m, No. 225

Entry from Alexandria: CaMgSi after structural relaxation (PBE).

a = 6.452 Å, b = 6.452 Å, c = 6.452 Å
α = 149.28°, β = 149.28°, γ = 44.00°
Element x y z (fractional)
Ca 0.000 0.000 0.000
Mg 0.286 0.286 0.000
Si 0.662 0.662 0.000

Results
ρ: 2.20 g/cm³
Formation energy without anion corrections: -1.993 kcal/mol of atoms
M_tot: 0.0 Bohr magnetons per cell
E: -3.09 eV/atom
SG: I4mm, No. 107

Entry from Alexandria: PmTlZnSe3 after structural relaxation (PBE).

a = 9.207 Å, b = 4.201 Å, c = 9.790 Å
α = 90.00°, β = 106.08°, γ = 90.00°
Element x y z (fractional)
Pm 0.172 0.250 0.146
Pm 0.828 0.750 0.854
Tl 0.296 0.750 0.783
Tl 0.704 0.250 0.217
Zn 0.417 0.750 0.394
Zn 0.583 0.250 0.606
Se 0.045 0.250 0.838
Se 0.303 0.250 0.471
Se 0.394 0.750 0.137
Se 0.606 0.250 0.863
Se 0.697 0.750 0.529
Se 0.955 0.750 0.162

Results
ρ: 5.95 g/cm³
Formation energy without anion corrections: -25.718 kcal/mol of atoms
M_tot: 0.0 Bohr magnetons per cell
E: -4.26 eV/atom
SG: P2_1/m, No. 11

Entry from Alexandria: TiTlCd3 after structural relaxation (PBE).

a = 5.469 Å, b = 5.469 Å, c = 5.469 Å
α = 90.00°, β = 90.00°, γ = 90.00°
Element x y z (fractional)
Ti 0.000 0.000 0.000
Tl 0.500 0.500 0.500
Cd 0.000 0.000 0.500
Cd 0.000 0.500 0.000
Cd 0.500 0.000 0.000

Results
Energy of formation from the pure elements: 0.60 eV per atom
ρ: 5.99 g/cm³
M_tot: 3.2 Bohr magnetons per cell
Energy above the lowest structure with this stoichiometry: 0.000 eV per atom
E: -2.00 eV/atom
SG: Pm-3m, No. 221